# La2CrRu PBE optimized geometry
# Energy relative to the elements: 1.38 eV per formula unit
# Energy above the lowest structure with this stoichiometry: 62 kJ/mol of formula units
data_La2CrRu
_chemical_formula_sum 'La2 Cr1 Ru1'
_cell_length_a 8.400
_cell_length_b 8.400
_cell_length_c 8.400
_cell_angle_alpha 27.90
_cell_angle_beta 27.90
_cell_angle_gamma 27.90
_symmetry_space_group_name_H-M 'P 1'
_symmetry_Int_Tables_number 1
_symmetry_space_group_name_Hall 'P 1'
loop_
_atom_site_label
_atom_site_type_symbol
_atom_site_fract_x
_atom_site_fract_y
_atom_site_fract_z
Cr1 Cr 0.750 0.750 0.750
La1 La 0.983 0.983 0.983
La2 La 0.517 0.517 0.517
Ru1 Ru 0.250 0.250 0.250

VASP calculation (PBE) on a relaxed Sr2HRhCl crystal.

```
data_Sr2HRhCl
_chemical_formula_sum 'Sr2 H1 Rh1 Cl1'
_cell_length_a 5.460
_cell_length_b 5.460
_cell_length_c 3.596
_cell_angle_alpha 90.00
_cell_angle_beta 90.00
_cell_angle_gamma 90.00
_symmetry_space_group_name_H-M 'P 1'
_symmetry_Int_Tables_number 1
_symmetry_space_group_name_Hall 'P 1'
loop_
_atom_site_label
_atom_site_type_symbol
_atom_site_fract_x
_atom_site_fract_y
_atom_site_fract_z
Sr1 Sr 0.000 0.500 0.000
Sr2 Sr 0.500 0.000 0.000
Rh1 Rh 0.000 0.000 0.500
H1 H 0.000 0.000 0.000
Cl1 Cl 0.500 0.500 0.500
```

VASP calculation (PBE) on a relaxed VAs2H crystal.

```
data_VAs2H
_chemical_formula_sum 'V2 As4 H2'
_cell_length_a 5.870
_cell_length_b 5.870
_cell_length_c 5.191
_cell_angle_alpha 55.57
_cell_angle_beta 55.57
_cell_angle_gamma 90.00
_symmetry_space_group_name_H-M 'P 1'
_symmetry_Int_Tables_number 1
_symmetry_space_group_name_Hall 'P 1'
loop_
_atom_site_label
_atom_site_type_symbol
_atom_site_fract_x
_atom_site_fract_y
_atom_site_fract_z
H1 H 0.500 0.500 0.000
H2 H 0.250 0.750 0.500
As1 As 0.546 0.125 0.250
As2 As 0.204 0.625 0.250
As3 As 0.375 0.454 0.750
As4 As 0.875 0.796 0.750
V1 V 0.000 0.000 0.000
V2 V 0.750 0.250 0.500
```

# GaHg2PtS PBE optimized geometry
# E_form (uncorrected): 3.99 kcal/mol of atoms
data_GaHg2PtS
_chemical_formula_sum 'Ga1 Hg2 Pt1 S1'
_cell_length_a 5.331
_cell_length_b 4.695
_cell_length_c 5.331
_cell_angle_alpha 90.00
_cell_angle_beta 90.00
_cell_angle_gamma 90.00
_symmetry_space_group_name_H-M 'P 1'
_symmetry_Int_Tables_number 1
_symmetry_space_group_name_Hall 'P 1'
loop_
_atom_site_label
_atom_site_type_symbol
_atom_site_fract_x
_atom_site_fract_y
_atom_site_fract_z
S1 S 0.000 0.500 0.000
Ga1 Ga 0.500 0.500 0.500
Hg1 Hg 0.000 0.000 0.500
Hg2 Hg 0.500 0.000 0.000
Pt1 Pt 0.000 0.000 0.000

# Ba2NaSrI PBE optimized geometry
# E_form (uncorrected): -1.08 kcal/mol of atoms
data_Ba2NaSrI
_chemical_formula_sum 'Ba2 Na1 Sr1 I1'
_cell_length_a 7.244
_cell_length_b 5.708
_cell_length_c 7.244
_cell_angle_alpha 90.00
_cell_angle_beta 90.00
_cell_angle_gamma 90.00
_symmetry_space_group_name_H-M 'P 1'
_symmetry_Int_Tables_number 1
_symmetry_space_group_name_Hall 'P 1'
loop_
_atom_site_label
_atom_site_type_symbol
_atom_site_fract_x
_atom_site_fract_y
_atom_site_fract_z
I1 I 0.000 0.500 0.000
Sr1 Sr 0.500 0.500 0.500
Ba1 Ba 0.000 0.000 0.500
Ba2 Ba 0.500 0.000 0.000
Na1 Na 0.000 0.000 0.000

# Er5CSe4 PBE optimized geometry
# Energy above the lowest structure with this stoichiometry: 50 kJ/mol of formula units
# E_form (uncorrected): -33.49 kcal/mol of atoms
data_Er5CSe4
_chemical_formula_sum 'Er5 C1 Se4'
_cell_length_a 3.932
_cell_length_b 3.932
_cell_length_c 14.553
_cell_angle_alpha 97.76
_cell_angle_beta 97.76
_cell_angle_gamma 90.00
_symmetry_space_group_name_H-M 'P 1'
_symmetry_Int_Tables_number 1
_symmetry_space_group_name_Hall 'P 1'
loop_
_atom_site_label
_atom_site_type_symbol
_atom_site_fract_x
_atom_site_fract_y
_atom_site_fract_z
Er1 Er 0.081 0.081 0.163
Er2 Er 0.500 0.500 0.000
Er3 Er 0.919 0.919 0.837
Er4 Er 0.293 0.293 0.586
Er5 Er 0.707 0.707 0.414
C1 C 0.000 0.000 0.000
Se1 Se 0.399 0.399 0.798
Se2 Se 0.808 0.808 0.616
Se3 Se 0.192 0.192 0.384
Se4 Se 0.601 0.601 0.202

# CoGe2Au PBE optimized geometry
# Energy relative to the elements: -0.11 eV per formula unit
# Energy above the lowest structure with this stoichiometry: 0 kJ/mol of formula units
data_CoGe2Au
_chemical_formula_sum 'Co1 Ge2 Au1'
_cell_length_a 2.990
_cell_length_b 2.990
_cell_length_c 8.639
_cell_angle_alpha 80.03
_cell_angle_beta 80.03
_cell_angle_gamma 60.00
_symmetry_space_group_name_H-M 'P 1'
_symmetry_Int_Tables_number 1
_symmetry_space_group_name_Hall 'P 1'
loop_
_atom_site_label
_atom_site_type_symbol
_atom_site_fract_x
_atom_site_fract_y
_atom_site_fract_z
Co1 Co 0.500 0.500 0.500
Ge1 Ge 0.100 0.100 0.701
Ge2 Ge 0.900 0.900 0.299
Au1 Au 0.000 0.000 0.000

# RbBeOs3 PBE optimized geometry
# Energy relative to the elements: 8.91 eV per formula unit
# Energy above the lowest structure with this stoichiometry: 0 kJ/mol of formula units
data_RbBeOs3
_chemical_formula_sum 'Rb1 Be1 Os3'
_cell_length_a 4.398
_cell_length_b 4.398
_cell_length_c 4.398
_cell_angle_alpha 90.00
_cell_angle_beta 90.00
_cell_angle_gamma 90.00
_symmetry_space_group_name_H-M 'P 1'
_symmetry_Int_Tables_number 1
_symmetry_space_group_name_Hall 'P 1'
loop_
_atom_site_label
_atom_site_type_symbol
_atom_site_fract_x
_atom_site_fract_y
_atom_site_fract_z
Be1 Be 0.000 0.000 0.000
Os1 Os 0.000 0.500 0.000
Os2 Os 0.000 0.000 0.500
Os3 Os 0.500 0.000 0.000
Rb1 Rb 0.500 0.500 0.500

no.,total DFT energy (no corrections) (eV for the cell shown)
1,-27.376
2,-20.223
3,-41.302
4,-12.934
5,-8.632
6,-60.499
7,-19.730
8,-29.472